DFT (GGA-PBE) results for crystalline MgNiBPd2 at its relaxed geometry.

Uncorrected energy in eV per atom: -5.28

Lattice parameters (Å, degrees): 4.202 4.202 3.871 90.00 90.00 90.00
Fractional positions:
Mg  0.000  0.000  0.000
Ni  0.500  0.500  0.000
B  0.500  0.500  0.500
Pd  0.000  0.500  0.500
Pd  0.500  0.000  0.500


DFT (GGA-PBE) results for crystalline MgNi2BPt at its relaxed geometry.

Uncorrected energy in eV per atom: -5.56

Lattice parameters (Å, degrees): 3.916 3.916 4.134 90.00 90.00 90.00
Fractional positions:
Mg  0.000  0.000  0.000
Ni  0.000  0.500  0.500
Ni  0.500  0.000  0.500
B  0.500  0.500  0.500
Pt  0.500  0.500  0.000


Looking at N(E_F) for the records above, in order, we have 0.59; 0.58 states/eV per atom.